Record 1
Computed, not measured: Y7Ho2 after structural relaxation at the PBE level of DFT.

Cell lengths 6.1663, 6.1663, 8.7344 Å; angles 90.00, 90.00, 120.00 degrees
Space group P-31m (No. 162)
Inequivalent atoms, fractional coordinates:
Y: 0.0000 0.0000 0.0000 [1 per cell]
Y: 0.0000 0.3341 0.6676 [6 per cell]
Ho: 0.3333 0.6667 0.0000 [2 per cell]

Summary:
The formation enthalpy at 0 K is 0.028 eV per atom. For the polymorph energy (0 for the lowest one), the calculation gives 0 meV per atom.

---

Record 2
Computed, not measured: PaSn2F8 after structural relaxation at the PBE level of DFT.

Cell lengths 14.871, 4.092, 5.983 Å; angles 90.00, 111.35, 90.00 degrees
Space group C2/m (No. 12)
Inequivalent atoms, fractional coordinates:
Pa: 0.000 0.000 0.000 [2 per cell]
Sn: 0.188 0.500 0.671 [4 per cell]
F: 0.025 0.500 0.826 [4 per cell]
F: 0.089 0.000 0.393 [4 per cell]
F: 0.155 0.000 0.993 [4 per cell]
F: 0.224 0.500 0.336 [4 per cell]

Summary:
For the polymorph energy (0 for the lowest one), the calculation gives 0 meV per atom.

---

Record 3
Computed, not measured: AgOsBr after structural relaxation at the PBE level of DFT.

Cell lengths 3.036, 3.036, 12.550 Å; angles 90.00, 90.00, 90.00 degrees
Space group I4mm (No. 107)
Inequivalent atoms, fractional coordinates:
Ag: 0.000 0.000 0.000 [2 per cell]
Os: 0.000 0.000 0.651 [2 per cell]
Br: 0.000 0.000 0.273 [2 per cell]

Summary:
For the polymorph energy (0 for the lowest one), the calculation gives 152 meV per atom.

---

Record 4
Computed, not measured: La5Tb2Pr12 after structural relaxation at the PBE level of DFT.

Cell lengths 16.365, 10.516, 11.582 Å; angles 90.00, 134.93, 90.00 degrees
Space group C2/m (No. 12)
Inequivalent atoms, fractional coordinates:
La: 0.000 0.000 0.000 [2 per cell]
La: 0.097 0.000 0.795 [4 per cell]
La: 0.099 0.500 0.803 [4 per cell]
Tb: 0.000 0.249 0.500 [4 per cell]
Pr: 0.102 0.246 0.304 [8 per cell]
Pr: 0.198 0.500 0.602 [4 per cell]
Pr: 0.202 0.000 0.602 [4 per cell]
Pr: 0.202 0.247 0.101 [8 per cell]

Summary:
The formation enthalpy at 0 K is 0.096 eV per atom. For the polymorph energy (0 for the lowest one), the calculation gives 0 meV per atom.

---

Record 5
Computed, not measured: Li2NdGa2Si2 after structural relaxation at the PBE level of DFT.

Cell lengths 4.2674, 4.2674, 23.7565 Å; angles 90.00, 90.00, 120.00 degrees
Space group R-3m (No. 166, hexagonal axes)
Inequivalent atoms, fractional coordinates:
Li: 0.0000 0.0000 0.1434 [6 per cell]
Nd: 0.0000 0.0000 0.0000 [3 per cell]
Ga: 0.0000 0.0000 0.4392 [6 per cell]
Si: 0.0000 0.0000 0.2552 [6 per cell]

Summary:
The total energy is -4.021 eV per atom.

---

Record 6
Computed, not measured: CrSn4Pd15 after structural relaxation at the PBE level of DFT.

Cell lengths 4.023, 4.023, 19.977 Å; angles 90.00, 90.00, 90.00 degrees
Space group P4/mmm (No. 123)
Inequivalent atoms, fractional coordinates:
Cr: 0.000 0.000 0.000 [1 per cell]
Sn: 0.000 0.000 0.196 [2 per cell]
Sn: 0.000 0.000 0.399 [2 per cell]
Pd: 0.000 0.500 0.095 [4 per cell]
Pd: 0.000 0.500 0.297 [4 per cell]
Pd: 0.000 0.500 0.500 [2 per cell]
Pd: 0.500 0.500 0.000 [1 per cell]
Pd: 0.500 0.500 0.196 [2 per cell]
Pd: 0.500 0.500 0.398 [2 per cell]

Summary:
The formation enthalpy at 0 K is -0.412 eV per atom.

---

| no. | M_tot (μB per atom) |
| --- | --- |
| 1 | 0.00 |
| 2 | 0.09 |
| 3 | 0.00 |
| 4 | 0.00 |
| 5 | 0.00 |
| 6 | 0.14 |